[1]
## CdMoAsPd2 (PBE)

Data for a relaxed structure of CdMoAsPd2.

## Properties
DOS(E_F) (states/eV/f.u.): 5.4
Symmetry: P4/mmm, No. 123

```
CdMoAsPd2
1.0
4.780 0.000 0.000
0.000 5.228 0.000
0.000 0.000 4.780
Mo As Pd Cd
1 1 2 1
direct
0.000 0.000 0.000
0.500 0.500 0.500
0.000 0.000 0.500
0.500 0.000 0.000
0.000 0.500 0.000
```


[2]
## CdMoAsS2 (PBE)

Data for a relaxed structure of CdMoAsS2.

## Properties
DOS(E_F) (states/eV/f.u.): 4.3
Energy relative to the elements, uncorrected (meV per atom): 1269.9
Symmetry: P4/mmm, No. 123

```
CdMoAsS2
1.0
4.918 0.000 0.000
0.000 5.102 0.000
0.000 0.000 4.918
S Mo As Cd
2 1 1 1
direct
0.000 0.000 0.500
0.500 0.000 0.000
0.500 0.500 0.500
0.000 0.500 0.000
0.000 0.000 0.000
```


[3]
## CdMoAs2Se (PBE)

Data for a relaxed structure of CdMoAs2Se.

## Properties
DOS(E_F) (states/eV/f.u.): 4.3
Energy relative to the elements, uncorrected (meV per atom): 311.9
E above lowest polymorph (eV/f.u.): 0.000
Symmetry: P4/mmm, No. 123

```
CdMoAs2Se
1.0
-3.514 -3.159 -1.614
-0.030 -2.245 4.460
-3.450 3.062 1.518
Mo As Se Cd
1 2 1 1
direct
0.000 0.000 0.000
0.000 0.500 0.000
0.500 0.000 0.000
0.000 0.000 0.500
0.500 0.500 0.500
```


[4]
## Tl2CdMoAs (PBE)

Data for a relaxed structure of Tl2CdMoAs.

## Properties
DOS(E_F) (states/eV/f.u.): 3.1
Symmetry: P4/mmm, No. 123

```
Tl2CdMoAs
1.0
-3.616 0.174 4.168
-0.949 -4.680 -0.628
4.027 -1.293 3.548
As Tl Mo Cd
1 2 1 1
direct
0.000 0.500 0.000
0.000 0.000 0.500
0.500 0.000 0.000
0.000 0.000 0.000
0.500 0.500 0.500
```


[5]
## ZnCdMo2As (PBE)

Data for a relaxed structure of ZnCdMo2As.

## Properties
DOS(E_F) (states/eV/f.u.): 2.3
Symmetry: P4/mmm, No. 123

```
ZnCdMo2As
1.0
5.123 0.000 0.000
0.000 4.645 0.000
0.000 0.000 5.123
Zn Mo As Cd
1 2 1 1
direct
0.000 0.500 0.000
0.000 0.000 0.500
0.500 0.000 0.000
0.500 0.500 0.500
0.000 0.000 0.000
```


[6]
## Cd3AsN (PBE)

Data for a relaxed structure of Cd3AsN.

## Properties
DOS(E_F) (states/eV/f.u.): 0.3
Energy relative to the elements, uncorrected (meV per atom): 373.7
E above lowest polymorph (eV/f.u.): 0.000
Symmetry: Pm-3m, No. 221

```
Cd3AsN
1.0
4.598 0.000 0.000
0.000 4.598 0.000
0.000 0.000 4.598
As N Cd
1 1 3
direct
0.500 0.500 0.500
0.000 0.000 0.000
0.000 0.500 0.000
0.000 0.000 0.500
0.500 0.000 0.000
```


[7]
## CdAs2N (PBE)

Data for a relaxed structure of CdAs2N.

## Properties
DOS(E_F) (states/eV/f.u.): 2.9
Energy relative to the elements, uncorrected (meV per atom): 643.8
E above lowest polymorph (eV/f.u.): 0.000
Symmetry: I-42d, No. 122

```
CdAs2N
1.0
5.733 0.000 0.000
0.000 5.733 0.000
2.866 2.866 4.945
As N Cd
4 2 2
direct
0.539 0.125 0.250
0.211 0.625 0.250
0.375 0.461 0.750
0.875 0.789 0.750
0.500 0.500 0.000
0.250 0.750 0.500
0.000 0.000 0.000
0.750 0.250 0.500
```


[8]
## CdAsN (PBE)

Data for a relaxed structure of CdAsN.

## Properties
DOS(E_F) (states/eV/f.u.): 0.2
Energy relative to the elements, uncorrected (meV per atom): 342.9
E above lowest polymorph (eV/f.u.): 0.000
Symmetry: P-1, No. 2

```
CdAsN
1.0
-5.542 1.907 3.637
1.006 -4.583 -6.337
-1.032 -1.614 3.322
Cd As N
2 2 2
direct
0.783 0.156 0.123
0.217 0.844 0.877
0.650 0.503 0.103
0.350 0.497 0.897
0.388 0.777 0.139
0.612 0.223 0.861
```


[9]
## Cd3AsN (PBE)

Data for a relaxed structure of Cd3AsN.

## Properties
DOS(E_F) (states/eV/f.u.): 13.0
Energy relative to the elements, uncorrected (meV per atom): 1344.7
E above lowest polymorph (eV/f.u.): 4.855
Symmetry: Pm-3m, No. 221

```
Cd3AsN
1.0
-1.901 -1.685 4.514
1.224 -4.862 -1.300
4.660 0.590 2.182
As N Cd
1 1 3
direct
0.000 0.000 0.000
0.500 0.500 0.500
0.000 0.500 0.000
0.000 0.000 0.500
0.500 0.000 0.000
```


[10]
## CdAsN (PBE)

Data for a relaxed structure of CdAsN.

## Properties
Energy relative to the elements, uncorrected (meV per atom): 389.5
E above lowest polymorph (eV/f.u.): 0.140
Symmetry: P1, No. 1

```
CdAsN
1.0
4.289 -0.005 0.624
-0.148 6.361 -1.434
-1.346 -3.429 5.207
Cd As N
2 2 2
direct
0.053 0.120 0.968
0.528 0.147 0.522
0.549 0.555 0.404
0.201 0.579 0.726
0.850 0.348 0.400
0.770 0.876 0.529
```


[11]
## CdAs2N (PBE)

Data for a relaxed structure of CdAs2N.

## Properties
DOS(E_F) (states/eV/f.u.): 2.3
Energy relative to the elements, uncorrected (meV per atom): 1305.2
E above lowest polymorph (eV/f.u.): 2.646
Symmetry: Fm-3m, No. 225

```
CdAs2N
1.0
0.000 3.232 3.232
3.232 0.000 3.232
3.232 3.232 0.000
As N Cd
2 1 1
direct
0.250 0.250 0.250
0.750 0.750 0.750
0.000 0.000 0.000
0.500 0.500 0.500
```


[12]
## Nb2CdAsN (PBE)

Data for a relaxed structure of Nb2CdAsN.

## Properties
DOS(E_F) (states/eV/f.u.): 5.3
Energy relative to the elements, uncorrected (meV per atom): 1108.4
Symmetry: P4/mmm, No. 123

```
Nb2CdAsN
1.0
-0.073 -4.943 0.510
1.720 -0.378 -3.418
4.444 0.163 2.219
Nb N As Cd
2 1 1 1
direct
0.000 0.000 0.500
0.500 0.000 0.000
0.000 0.500 0.000
0.000 0.000 0.000
0.500 0.500 0.500
```


Number 1: E -4.11 eV/atom, total moment 0.0 μB per formula unit. Number 2: E -3.66 eV/atom, total moment 2.3 μB per formula unit. Number 3: E -4.59 eV/atom, total moment 0.0 μB per formula unit. Number 4: E -3.86 eV/atom, total moment 0.0 μB per formula unit. Number 5: E -3.86 eV/atom, total moment 5.4 μB per formula unit. Number 6: E -2.77 eV/atom, total moment 0.0 μB per formula unit. Number 7: E -3.99 eV/atom, total moment 0.0 μB per formula unit. Number 8: E -4.29 eV/atom, total moment 0.0 μB per formula unit. Number 9: E -1.80 eV/atom, total moment 0.0 μB per formula unit. Number 10: E -4.24 eV/atom, total moment 0.0 μB per formula unit. Number 11: E -3.33 eV/atom, total moment 0.0 μB per formula unit. Number 12: E -5.70 eV/atom, total moment 0.0 μB per formula unit.